(1)
Compound: SiTc2Rh
Source: Alexandria
Functional: PBE
Structure: relaxed

V: 14.10 A^3/atom
Raw formation energy: -0.08 eV per atom
DOS at the Fermi energy: 3.8 states/eV/cell

Cell lengths 4.3042, 4.3042, 4.3042 Å; angles 60.00, 60.00, 60.00 degrees
Each line ends with the local moment (μB).
Fractional coordinates of all 4 atoms:
Tc 0.0000 0.0000 0.0000  -0.04
Tc 0.2500 0.2500 0.2500  1.17
Si 0.7500 0.7500 0.7500  0.02
Rh 0.5000 0.5000 0.5000  0.41



(2)
Compound: Si2TcRh
Source: Alexandria
Functional: PBE
Structure: relaxed

V: 13.64 A^3/atom
Raw formation energy: -0.42 eV per atom
DOS at the Fermi energy: 4.3 states/eV/cell

Cell lengths 7.8319, 7.8319, 7.8319 Å; angles 21.10, 21.10, 21.10 degrees
Fractional coordinates of all 4 atoms:
Si 0.0004 0.0004 0.0004
Si 0.4996 0.4996 0.4996
Tc 0.2500 0.2500 0.2500
Rh 0.7500 0.7500 0.7500



(3)
Compound: SiTcRh2
Source: Alexandria
Functional: PBE
Structure: relaxed

V: 13.89 A^3/atom
Raw formation energy: -0.36 eV per atom
DOS at the Fermi energy: 3.0 states/eV/cell

Cell lengths 2.7857, 4.5809, 4.8980 Å; angles 111.03, 106.49, 90.00 degrees
Fractional coordinates of all 4 atoms:
Rh 0.9209 0.0791 0.8487
Rh 0.1254 0.7361 0.2591
Tc 0.3610 0.5455 0.7288
Si 0.6441 0.1985 0.2956